TiBe2VO | PBE+U | relaxed

Calculated values
Uncorrected energy: -3.533 eV/atom
D(E_F): 1.8 states/eV/cell

Cell lengths 4.4121, 4.4121, 4.2245 Å; angles 90.00, 90.00, 90.00 degrees
Positions (direct):
Ti  0.0000  0.0000  0.0000
Be  0.0000  0.5000  0.0000
Be  0.5000  0.0000  0.0000
V  0.0000  0.0000  0.5000
O  0.5000  0.5000  0.5000